This record from the Alexandria database describes YMgCu at its PBEsol-relaxed geometry. The functional is meta-GGA SCAN.

a = 6.5250 Å, b = 6.9371 Å, c = 5.4781 Å
α = 90.00°, β = 90.00°, γ = 90.00°
Last column: nearest neighbours and their distance in Å.
Space group Pbcm (No. 57)
One atom of each set of equivalent atoms:
Y1 0.0926 0.0860 0.2500 (multiplicity 4)  4 Cu 2.95-2.98, 1 Mg 3.20, 2 Y 3.22
Mg1 0.4132 0.0642 0.7500 (multiplicity 4)  4 Cu 2.73-2.77
Cu1 0.2742 0.7500 0.0000 (multiplicity 4)  4 Mg 2.73-2.77, 2 Cu 2.74, 4 Y 2.95-2.98

Magnetization in μB/f.u.: 0.000
ΔE_f in eV/atom: -0.152
VASP energy in eV/atom: -16.157